Record 1
Entry from the Alexandria database: a relaxed structure of HfAl4Co (PBE).

Lattice parameters (Å, degrees): 5.180 6.611 6.693 104.76 90.09 112.99
Element x y z (fractional)
Hf (0.031, 0.499, 0.250)
Hf (0.969, 0.501, 0.750)
Al (0.073, 0.923, 0.151)
Al (0.351, 0.923, 0.651)
Al (0.383, 0.332, 0.580)
Al (0.448, 0.331, 0.079)
Al (0.552, 0.669, 0.921)
Al (0.617, 0.668, 0.420)
Al (0.649, 0.077, 0.349)
Al (0.927, 0.077, 0.849)
Co (0.000, 0.000, 0.500)
Co (0.500, 0.000, 0.000)

Properties
calculated total energy	-65.5	eV/cell
space-group type	P-1, No. 2

Record 2
Entry from the Alexandria database: a relaxed structure of BeCu2Ru (PBE).

Lattice parameters (Å, degrees): 8.280 8.280 8.280 18.01 18.01 18.01
Element x y z (fractional)
Be (0.000, 0.000, 0.000)
Cu (0.258, 0.258, 0.258)
Cu (0.742, 0.742, 0.742)
Ru (0.500, 0.500, 0.500)

Properties
calculated total energy	-20.6	eV/cell
space-group type	R-3m, No. 166

Record 3
Entry from the Alexandria database: a relaxed structure of Pu3MnTl3Se8 (PBE).

Lattice parameters (Å, degrees): 8.229 8.229 9.130 116.66 116.66 59.81
Element x y z (fractional)
Pu (0.000, 0.000, 0.000)
Pu (0.000, 0.500, 0.000)
Pu (0.500, 0.000, 0.000)
Mn (0.500, 0.500, 0.000)
Tl (0.000, 0.500, 0.500)
Tl (0.500, 0.000, 0.500)
Tl (0.500, 0.500, 0.500)
Se (0.236, 0.236, 0.207)
Se (0.252, 0.721, 0.192)
Se (0.279, 0.748, 0.808)
Se (0.280, 0.280, 0.809)
Se (0.720, 0.720, 0.191)
Se (0.721, 0.252, 0.192)
Se (0.748, 0.279, 0.808)
Se (0.764, 0.764, 0.793)

Properties
space-group type	C2/m, No. 12
raw formation energy	-909	meV/atom

Record 4
Entry from the Alexandria database: a relaxed structure of Cr2TePb (PBE).

Lattice parameters (Å, degrees): 4.409 4.409 7.491 95.02 95.02 42.14
Element x y z (fractional)
Cr (0.000, 0.000, 0.000)
Cr (0.720, 0.720, 0.103)
Te (0.454, 0.454, 0.303)
Pb (0.251, 0.251, 0.746)

Properties
energy above the lowest structure with this stoichiometry	36	kJ/mol of formula units
space-group type	Cm, No. 8
raw formation energy	350	meV/atom

Record 5
Entry from the Alexandria database: a relaxed structure of La2CdPb (PBE).

Lattice parameters (Å, degrees): 7.133 7.133 7.133 102.89 102.89 123.63
Element x y z (fractional)
La (0.122, 0.625, 0.997)
La (0.375, 0.372, 0.497)
La (0.628, 0.125, 0.003)
La (0.875, 0.878, 0.503)
Cd (0.000, 0.000, 0.000)
Cd (0.750, 0.250, 0.500)
Pb (0.250, 0.750, 0.500)
Pb (0.500, 0.500, 0.000)

Properties
calculated total energy	-30.4	eV/cell
space-group type	I-42d, No. 122

Record 6
Entry from the Alexandria database: a relaxed structure of CoP4W (PBE).

Lattice parameters (Å, degrees): 4.839 4.839 4.839 60.00 60.00 60.00
Element x y z (fractional)
Co (0.000, 0.000, 0.000)
P (0.375, 0.375, 0.375)
P (0.375, 0.375, 0.875)
P (0.375, 0.875, 0.375)
P (0.875, 0.375, 0.375)
W (0.750, 0.750, 0.750)

Properties
calculated total energy	-36.5	eV/cell
space-group type	F-43m, No. 216

Record 7
Entry from the Alexandria database: a relaxed structure of Mg2InS (PBE).

Lattice parameters (Å, degrees): 6.228 6.228 6.228 105.34 105.34 118.08
Element x y z (fractional)
Mg (0.069, 0.625, 0.944)
Mg (0.375, 0.319, 0.444)
Mg (0.681, 0.125, 0.056)
Mg (0.875, 0.931, 0.556)
In (0.250, 0.750, 0.500)
In (0.500, 0.500, 0.000)
S (0.000, 0.000, 0.000)
S (0.750, 0.250, 0.500)

Properties
energy above the lowest structure with this stoichiometry	0	kJ/mol of formula units
space-group type	I-42d, No. 122
raw formation energy	-453	meV/atom

Record 8
Entry from the Alexandria database: a relaxed structure of Li7Ag3Au (PBE).

Lattice parameters (Å, degrees): 10.864 10.864 12.387 90.00 90.00 164.66
Element x y z (fractional)
Li (0.055, 0.945, 0.632)
Li (0.055, 0.945, 0.868)
Li (0.086, 0.914, 0.100)
Li (0.086, 0.914, 0.400)
Li (0.184, 0.816, 0.750)
Li (0.223, 0.777, 0.098)
Li (0.223, 0.777, 0.402)
Li (0.777, 0.223, 0.598)
Li (0.777, 0.223, 0.902)
Li (0.816, 0.184, 0.250)
Li (0.914, 0.086, 0.600)
Li (0.914, 0.086, 0.900)
Li (0.945, 0.055, 0.132)
Li (0.945, 0.055, 0.368)
Ag (0.338, 0.662, 0.750)
Ag (0.345, 0.655, 0.054)
Ag (0.345, 0.655, 0.446)
Ag (0.655, 0.345, 0.554)
Ag (0.655, 0.345, 0.946)
Ag (0.662, 0.338, 0.250)
Au (0.476, 0.524, 0.750)
Au (0.524, 0.476, 0.250)

Properties
energy above the lowest structure with this stoichiometry	0	kJ/mol of formula units
space-group type	Cmcm, No. 63

Record 9
Entry from the Alexandria database: a relaxed structure of Sr2AlOs (PBE).

Lattice parameters (Å, degrees): 5.843 5.843 3.036 90.00 90.00 106.72
Element x y z (fractional)
Sr (0.000, 0.500, 0.000)
Sr (0.500, 0.000, 0.000)
Al (0.000, 0.000, 0.500)
Os (0.500, 0.500, 0.500)

Properties
calculated total energy	-15.8	eV/cell
space-group type	Cmmm, No. 65

Record 10
Entry from the Alexandria database: a relaxed structure of HgGe2Se (PBE).

Lattice parameters (Å, degrees): 7.474 7.474 7.474 131.55 131.55 70.94
Element x y z (fractional)
Hg (0.000, 0.000, 0.000)
Hg (0.750, 0.250, 0.500)
Ge (0.127, 0.625, 0.002)
Ge (0.375, 0.377, 0.502)
Ge (0.623, 0.125, 0.998)
Ge (0.875, 0.873, 0.498)
Se (0.250, 0.750, 0.500)
Se (0.500, 0.500, 0.000)

Properties
energy above the lowest structure with this stoichiometry	0	kJ/mol of formula units
space-group type	I-42d, No. 122
raw formation energy	170	meV/atom

Record 11
Entry from the Alexandria database: a relaxed structure of Y2Ag2Pt (PBE).

Lattice parameters (Å, degrees): 5.565 5.565 5.565 120.13 120.13 89.78
Element x y z (fractional)
Y (0.250, 0.750, 0.500)
Y (0.750, 0.250, 0.500)
Ag (0.158, 0.158, 0.000)
Ag (0.842, 0.842, 0.000)
Pt (0.500, 0.500, 0.000)

Properties
energy above the lowest structure with this stoichiometry	200	kJ/mol of formula units
space-group type	I4/mmm, No. 139

Record 12
Entry from the Alexandria database: a relaxed structure of TaTlPb2 (PBE).

Lattice parameters (Å, degrees): 3.937 3.937 6.472 90.00 90.00 90.00
Element x y z (fractional)
Ta (0.000, 0.000, 0.000)
Tl (0.500, 0.500, 0.251)
Pb (0.000, 0.000, 0.500)
Pb (0.500, 0.500, 0.792)

Properties
energy above the lowest structure with this stoichiometry	113	kJ/mol of formula units
space-group type	P4mm, No. 99

Copy entry 5 word for word.
Entry from the Alexandria database: a relaxed structure of La2CdPb (PBE).

Lattice parameters (Å, degrees): 7.133 7.133 7.133 102.89 102.89 123.63
Element x y z (fractional)
La (0.122, 0.625, 0.997)
La (0.375, 0.372, 0.497)
La (0.628, 0.125, 0.003)
La (0.875, 0.878, 0.503)
Cd (0.000, 0.000, 0.000)
Cd (0.750, 0.250, 0.500)
Pb (0.250, 0.750, 0.500)
Pb (0.500, 0.500, 0.000)

Properties
calculated total energy	-30.4	eV/cell
space-group type	I-42d, No. 122

Q: What is the formula in the fifth record?
A: La2CdPb